1.
An optimized crystal structure of NdDyAlPb. Source: the Alexandria database, functional GGA-PBE.

The space group is F-43m, No. 216. Its formation energy is -32 kJ/mol of atoms. The calculation puts the density of states at the Fermi level at 0.73 states/eV per atom. For the uncorrected energy, the calculation gives -18.16 eV/cell.

Structure (CIF):
```
data_NdDyAlPb
_chemical_formula_sum 'Nd1 Dy1 Al1 Pb1'
_cell_length_a 5.3755
_cell_length_b 5.3755
_cell_length_c 5.3755
_cell_angle_alpha 60.00
_cell_angle_beta 60.00
_cell_angle_gamma 60.00
_symmetry_space_group_name_H-M 'P 1'
_symmetry_Int_Tables_number 1
loop_
_symmetry_equiv_pos_as_xyz
'x,y,z'
loop_
_atom_site_label
_atom_site_type_symbol
_atom_site_fract_x
_atom_site_fract_y
_atom_site_fract_z
Al1 Al 0.7500 0.7500 0.7500
Pb1 Pb 0.2500 0.2500 0.2500
Nd1 Nd 0.5000 0.5000 0.5000
Dy1 Dy 0.0000 0.0000 0.0000
```

---

2.
An optimized crystal structure of NdDyAl2Pd5. Source: the Alexandria database, functional GGA-PBE.

The space group is P4/mmm, No. 123. Its formation energy is -77 kJ/mol of atoms. The calculation puts the density of states at the Fermi level at 0.67 states/eV per atom. For the uncorrected energy, the calculation gives -50.02 eV/cell.

Structure (CIF):
```
data_NdDyAl2Pd5
_chemical_formula_sum 'Nd1 Dy1 Al2 Pd5'
_cell_length_a 4.2731
_cell_length_b 4.2731
_cell_length_c 9.2546
_cell_angle_alpha 90.00
_cell_angle_beta 90.00
_cell_angle_gamma 90.00
_symmetry_space_group_name_H-M 'P 1'
_symmetry_Int_Tables_number 1
loop_
_symmetry_equiv_pos_as_xyz
'x,y,z'
loop_
_atom_site_label
_atom_site_type_symbol
_atom_site_fract_x
_atom_site_fract_y
_atom_site_fract_z
Pd1 Pd 0.5000 0.0000 0.7288
Pd2 Pd 0.5000 0.5000 0.5000
Pd3 Pd 0.5000 0.0000 0.2712
Pd4 Pd 0.0000 0.5000 0.7288
Pd5 Pd 0.0000 0.5000 0.2712
Al1 Al 0.5000 0.5000 0.8603
Al2 Al 0.5000 0.5000 0.1397
Nd1 Nd 0.0000 0.0000 0.5000
Dy1 Dy 0.0000 0.0000 0.0000
```

---

3.
An optimized crystal structure of NdDyAlPd. Source: the Alexandria database, functional GGA-PBE.

The space group is Amm2, No. 38. Its formation energy is -56 kJ/mol of atoms. For the distance to the lowest polymorph of the same formula, the calculation gives 0.0 kJ/mol of atoms. The calculation puts the density of states at the Fermi level at 0.97 states/eV per atom. For the uncorrected energy, the calculation gives -20.62 eV/cell.

Structure (CIF):
```
data_NdDyAlPd
_chemical_formula_sum 'Nd1 Dy1 Al1 Pd1'
_cell_length_a 3.8943
_cell_length_b 4.3999
_cell_length_c 6.0804
_cell_angle_alpha 90.00
_cell_angle_beta 108.68
_cell_angle_gamma 90.00
_symmetry_space_group_name_H-M 'P 1'
_symmetry_Int_Tables_number 1
loop_
_symmetry_equiv_pos_as_xyz
'x,y,z'
loop_
_atom_site_label
_atom_site_type_symbol
_atom_site_fract_x
_atom_site_fract_y
_atom_site_fract_z
Al1 Al 0.4356 0.0000 0.8712
Nd1 Nd 0.8480 0.5000 0.6961
Dy1 Dy 0.1426 0.0000 0.2852
Pd1 Pd 0.5738 0.5000 0.1476
```

---

4.
An optimized crystal structure of NdDyAlPd. Source: the Alexandria database, functional GGA-PBE.

The space group is F-43m, No. 216. Its formation energy is -50 kJ/mol of atoms. For the distance to the lowest polymorph of the same formula, the calculation gives 6.2 kJ/mol of atoms. The calculation puts the density of states at the Fermi level at 0.91 states/eV per atom. For the uncorrected energy, the calculation gives -20.36 eV/cell.

Structure (CIF):
```
data_NdDyAlPd
_chemical_formula_sum 'Nd1 Dy1 Al1 Pd1'
_cell_length_a 5.1471
_cell_length_b 5.1471
_cell_length_c 5.1471
_cell_angle_alpha 60.00
_cell_angle_beta 60.00
_cell_angle_gamma 60.00
_symmetry_space_group_name_H-M 'P 1'
_symmetry_Int_Tables_number 1
loop_
_symmetry_equiv_pos_as_xyz
'x,y,z'
loop_
_atom_site_label
_atom_site_type_symbol
_atom_site_fract_x
_atom_site_fract_y
_atom_site_fract_z
Pd1 Pd 0.0000 0.0000 0.0000
Nd1 Nd 0.7500 0.7500 0.7500
Dy1 Dy 0.2500 0.2500 0.2500
Al1 Al 0.5000 0.5000 0.5000
```

---

5.
An optimized crystal structure of PmNdDyAl. Source: the Alexandria database, functional GGA-PBE.

The space group is P4mm, No. 99. Its formation energy is -17 kJ/mol of atoms. For the distance to the lowest polymorph of the same formula, the calculation gives 0.0 kJ/mol of atoms. The calculation puts the density of states at the Fermi level at 0.84 states/eV per atom. For the uncorrected energy, the calculation gives -18.57 eV/cell.

Structure (CIF):
```
data_PmNdDyAl
_chemical_formula_sum 'Pm1 Nd1 Dy1 Al1'
_cell_length_a 3.5576
_cell_length_b 3.5576
_cell_length_c 9.2663
_cell_angle_alpha 90.00
_cell_angle_beta 90.00
_cell_angle_gamma 90.00
_symmetry_space_group_name_H-M 'P 1'
_symmetry_Int_Tables_number 1
loop_
_symmetry_equiv_pos_as_xyz
'x,y,z'
loop_
_atom_site_label
_atom_site_type_symbol
_atom_site_fract_x
_atom_site_fract_y
_atom_site_fract_z
Al1 Al 0.0000 0.0000 0.5648
Nd1 Nd 0.0000 0.0000 0.0781
Dy1 Dy 0.5000 0.5000 0.3609
Pm1 Pm 0.5000 0.5000 0.7809
```

---

6.
An optimized crystal structure of PmNdDyAl. Source: the Alexandria database, functional GGA-PBE.

The space group is F-43m, No. 216. Its formation energy is -5 kJ/mol of atoms. For the distance to the lowest polymorph of the same formula, the calculation gives 11.6 kJ/mol of atoms. The calculation puts the density of states at the Fermi level at 1.67 states/eV per atom. For the uncorrected energy, the calculation gives -18.09 eV/cell.

Structure (CIF):
```
data_PmNdDyAl
_chemical_formula_sum 'Pm1 Nd1 Dy1 Al1'
_cell_length_a 5.4458
_cell_length_b 5.4458
_cell_length_c 5.4458
_cell_angle_alpha 60.00
_cell_angle_beta 60.00
_cell_angle_gamma 60.00
_symmetry_space_group_name_H-M 'P 1'
_symmetry_Int_Tables_number 1
loop_
_symmetry_equiv_pos_as_xyz
'x,y,z'
loop_
_atom_site_label
_atom_site_type_symbol
_atom_site_fract_x
_atom_site_fract_y
_atom_site_fract_z
Nd1 Nd 0.0000 0.0000 0.0000
Al1 Al 0.2500 0.2500 0.2500
Dy1 Dy 0.7500 0.7500 0.7500
Pm1 Pm 0.5000 0.5000 0.5000
```

---

7.
An optimized crystal structure of PrNdDyAl. Source: the Alexandria database, functional GGA-PBE.

The space group is F-43m, No. 216. Its formation energy is -5 kJ/mol of atoms. The calculation puts the density of states at the Fermi level at 1.64 states/eV per atom. For the uncorrected energy, the calculation gives -18.11 eV/cell.

Structure (CIF):
```
data_PrNdDyAl
_chemical_formula_sum 'Pr1 Nd1 Dy1 Al1'
_cell_length_a 5.4768
_cell_length_b 5.4768
_cell_length_c 5.4768
_cell_angle_alpha 60.00
_cell_angle_beta 60.00
_cell_angle_gamma 60.00
_symmetry_space_group_name_H-M 'P 1'
_symmetry_Int_Tables_number 1
loop_
_symmetry_equiv_pos_as_xyz
'x,y,z'
loop_
_atom_site_label
_atom_site_type_symbol
_atom_site_fract_x
_atom_site_fract_y
_atom_site_fract_z
Pr1 Pr 0.0000 0.0000 0.0000
Dy1 Dy 0.7500 0.7500 0.7500
Nd1 Nd 0.5000 0.5000 0.5000
Al1 Al 0.2500 0.2500 0.2500
```

---

8.
An optimized crystal structure of NdDyAlRh. Source: the Alexandria database, functional GGA-PBE.

The space group is F-43m, No. 216. Its formation energy is -45 kJ/mol of atoms. The calculation puts the density of states at the Fermi level at 0.99 states/eV per atom. For the uncorrected energy, the calculation gives -22.35 eV/cell.

Structure (CIF):
```
data_NdDyAlRh
_chemical_formula_sum 'Nd1 Dy1 Al1 Rh1'
_cell_length_a 5.0754
_cell_length_b 5.0754
_cell_length_c 5.0754
_cell_angle_alpha 60.00
_cell_angle_beta 60.00
_cell_angle_gamma 60.00
_symmetry_space_group_name_H-M 'P 1'
_symmetry_Int_Tables_number 1
loop_
_symmetry_equiv_pos_as_xyz
'x,y,z'
loop_
_atom_site_label
_atom_site_type_symbol
_atom_site_fract_x
_atom_site_fract_y
_atom_site_fract_z
Al1 Al 0.5000 0.5000 0.5000
Nd1 Nd 0.7500 0.7500 0.7500
Rh1 Rh 0.0000 0.0000 0.0000
Dy1 Dy 0.2500 0.2500 0.2500
```